#i
VASP calculation (PBE) on a geometry-optimized MnBPdAuI structure.

Cell: 6.353 3.665 8.464 Å, 90.00 104.16 90.00°
Space group Cm (No. 8)
Symmetry-distinct sites (fractional):
Mn: 0.000 0.000 0.000 [2 per cell]
B: 0.119 0.500 0.856 [2 per cell]
Pd: 0.265 0.000 0.791 [2 per cell]
Au: 0.027 0.500 0.574 [2 per cell]
I: 0.412 0.000 0.237 [2 per cell]

Computed properties:
Crystal system: monoclinic



#ii
VASP calculation (PBE) on a geometry-optimized MnBPdAuI structure.

Cell: 3.382 4.273 7.197 Å, 86.10 89.98 89.66°
Space group P1 (No. 1)
Symmetry-distinct sites (fractional):
Mn: 0.000 0.000 0.000 [1 per cell]
B: 0.500 0.013 0.806 [1 per cell]
Pd: 0.000 0.996 0.631 [1 per cell]
Au: 0.500 0.504 0.872 [1 per cell]
I: 0.500 0.910 0.313 [1 per cell]

Computed properties:
Crystal system: triclinic



#iii
VASP calculation (PBE) on a geometry-optimized MnBPdAuI structure.

Cell: 5.736 3.289 10.055 Å, 90.00 101.03 90.00°
Space group Cm (No. 8)
Symmetry-distinct sites (fractional):
Mn: 0.000 0.000 0.000 [2 per cell]
B: 0.205 0.500 0.115 [2 per cell]
Pd: 0.402 0.000 0.205 [2 per cell]
Au: 0.267 0.000 0.806 [2 per cell]
I: 0.169 0.000 0.514 [2 per cell]

Computed properties:
Crystal system: monoclinic



Name the least stable of them. #iii.



#i
VASP calculation (PBE) on a geometry-optimized MnBPdAuI structure.

Cell: 4.219 3.388 7.429 Å, 90.00 104.56 90.00°
Space group Pm (No. 6)
Symmetry-distinct sites (fractional):
Mn: 0.000 0.000 0.000 [1 per cell]
B: 0.886 0.500 0.804 [1 per cell]
Pd: 0.707 0.000 0.638 [1 per cell]
Au: 0.424 0.500 0.891 [1 per cell]
I: 0.108 0.000 0.362 [1 per cell]

Computed properties:
Crystal system: monoclinic



#ii
VASP calculation (PBE) on a geometry-optimized MnBPdAuI structure.

Cell: 3.4184 3.4184 25.7616 Å, 90.00 90.00 120.00°
Space group R3m (No. 160, hexagonal axes)
Symmetry-distinct sites (fractional):
Mn: 0.0000 0.0000 0.0000 [3 per cell]
B: 0.0000 0.0000 0.3730 [3 per cell]
Pd: 0.0000 0.0000 0.7421 [3 per cell]
Au: 0.0000 0.0000 0.1521 [3 per cell]
I: 0.0000 0.0000 0.5892 [3 per cell]

Computed properties:
Crystal system: trigonal



Name the least stable of them. #ii.



#i
VASP calculation (PBE) on a geometry-optimized BAuI2N structure.

Cell: 6.984 6.984 2.728 Å, 90.00 90.00 90.00°
Space group P4/mmm (No. 123)
Symmetry-distinct sites (fractional):
B: 0.000 0.000 0.000 [1 per cell]
Au: 0.500 0.500 0.500 [1 per cell]
I: 0.000 0.500 0.000 [2 per cell]
N: 0.000 0.000 0.500 [1 per cell]

Computed properties:
Crystal system: tetragonal



#ii
VASP calculation (PBE) on a geometry-optimized BAuI2N structure.

Cell: 5.957 5.957 3.814 Å, 90.00 90.00 90.00°
Space group P4/mmm (No. 123)
Symmetry-distinct sites (fractional):
B: 0.000 0.000 0.000 [1 per cell]
Au: 0.500 0.500 0.500 [1 per cell]
I: 0.000 0.500 0.500 [2 per cell]
N: 0.500 0.500 0.000 [1 per cell]

Computed properties:
Crystal system: tetragonal



Name the least stable of them. #ii.



#i
VASP calculation (PBE) on a geometry-optimized NiBAuI structure.

Cell: 12.209 3.304 4.125 Å, 90.00 93.65 90.00°
Space group Cm (No. 8)
Symmetry-distinct sites (fractional):
Ni: 0.000 0.000 0.000 [2 per cell]
B: 0.415 0.000 0.983 [2 per cell]
Au: 0.477 0.000 0.493 [2 per cell]
I: 0.229 0.000 0.907 [2 per cell]

Computed properties:
Crystal system: monoclinic



#ii
VASP calculation (PBE) on a geometry-optimized NiBAuI structure.

Cell: 7.802 3.287 6.435 Å, 90.00 98.23 90.00°
Space group Cm (No. 8)
Symmetry-distinct sites (fractional):
Ni: 0.000 0.000 0.000 [2 per cell]
B: 0.109 0.500 0.131 [2 per cell]
Au: 0.309 0.000 0.190 [2 per cell]
I: 0.481 0.000 0.679 [2 per cell]

Computed properties:
Crystal system: monoclinic



#iii
VASP calculation (PBE) on a geometry-optimized NiBAuI structure.

Cell: 7.778 3.187 7.453 Å, 90.00 112.29 90.00°
Space group Cm (No. 8)
Symmetry-distinct sites (fractional):
Ni: 0.000 0.000 0.000 [2 per cell]
B: 0.449 0.000 0.118 [2 per cell]
Au: 0.275 0.500 0.179 [2 per cell]
I: 0.347 0.500 0.637 [2 per cell]

Computed properties:
Crystal system: monoclinic



Name the least stable of them. #ii.



#i
VASP calculation (PBE) on a geometry-optimized BRhAuI structure.

Cell: 7.548 3.278 6.522 Å, 90.00 90.55 90.00°
Space group Cm (No. 8)
Symmetry-distinct sites (fractional):
B: 0.000 0.000 0.000 [2 per cell]
Rh: 0.088 0.500 0.152 [2 per cell]
Au: 0.299 0.000 0.897 [2 per cell]
I: 0.316 0.000 0.444 [2 per cell]

Computed properties:
Crystal system: monoclinic



#ii
VASP calculation (PBE) on a geometry-optimized BRhAuI structure.

Cell: 7.458 3.308 6.791 Å, 90.00 98.06 90.00°
Space group Cm (No. 8)
Symmetry-distinct sites (fractional):
B: 0.000 0.000 0.000 [2 per cell]
Rh: 0.112 0.500 0.139 [2 per cell]
Au: 0.292 0.000 0.897 [2 per cell]
I: 0.115 0.000 0.480 [2 per cell]

Computed properties:
Crystal system: monoclinic



#iii
VASP calculation (PBE) on a geometry-optimized BRhAuI structure.

Cell: 3.702 4.181 5.818 Å, 90.00 102.36 90.00°
Space group Pm (No. 6)
Symmetry-distinct sites (fractional):
B: 0.000 0.000 0.000 [1 per cell]
Rh: 0.449 0.000 0.845 [1 per cell]
Au: 0.950 0.500 0.862 [1 per cell]
I: 0.391 0.000 0.362 [1 per cell]

Computed properties:
Crystal system: monoclinic



Name the least stable of them. #ii.



#i
VASP calculation (PBE) on a geometry-optimized SiBAuI structure.

Cell: 3.443 3.474 8.785 Å, 89.99 78.89 60.34°
Space group P1 (No. 1)
Symmetry-distinct sites (fractional):
Si: 0.000 0.000 0.000 [1 per cell]
B: 0.334 0.335 0.996 [1 per cell]
Au: 0.526 0.191 0.743 [1 per cell]
I: 0.743 0.059 0.428 [1 per cell]

Computed properties:
Crystal system: triclinic



#ii
VASP calculation (PBE) on a geometry-optimized SiBAuI structure.

Cell: 3.632 4.282 6.460 Å, 97.66 100.61 112.22°
Space group P1 (No. 1)
Symmetry-distinct sites (fractional):
Si: 0.000 0.000 0.000 [1 per cell]
B: 0.381 0.805 0.909 [1 per cell]
Au: 0.249 0.595 0.196 [1 per cell]
I: 0.100 0.392 0.585 [1 per cell]

Computed properties:
Crystal system: triclinic



#iii
VASP calculation (PBE) on a geometry-optimized SiBAuI structure.

Cell: 3.365 3.502 8.259 Å, 87.67 78.30 61.32°
Space group P1 (No. 1)
Symmetry-distinct sites (fractional):
Si: 0.000 0.000 0.000 [1 per cell]
B: 0.365 0.338 0.933 [1 per cell]
Au: 0.817 0.062 0.294 [1 per cell]
I: 0.504 0.344 0.651 [1 per cell]

Computed properties:
Crystal system: triclinic



Name the least stable of them. #iii.



#i
VASP calculation (PBE) on a geometry-optimized SiBAuI structure.

Cell: 3.766 4.187 6.025 Å, 90.15 101.66 90.15°
Space group P1 (No. 1)
Symmetry-distinct sites (fractional):
Si: 0.000 0.000 0.000 [1 per cell]
B: 0.552 0.001 0.132 [1 per cell]
Au: 0.379 0.498 0.082 [1 per cell]
I: 0.826 0.913 0.552 [1 per cell]

Computed properties:
Crystal system: triclinic



#ii
VASP calculation (PBE) on a geometry-optimized SiBAuI structure.

Cell: 3.650 3.706 7.261 Å, 89.85 75.55 89.95°
Space group P1 (No. 1)
Symmetry-distinct sites (fractional):
Si: 0.000 0.000 0.000 [1 per cell]
B: 0.443 0.999 0.115 [1 per cell]
Au: 0.367 0.499 0.270 [1 per cell]
I: 0.140 0.501 0.718 [1 per cell]

Computed properties:
Crystal system: triclinic



Name the least stable of them. #ii.



#i
VASP calculation (PBE) on a geometry-optimized BTeAuI2 structure.

Cell: 5.607 5.607 5.550 Å, 90.00 90.00 90.00°
Space group P4/mmm (No. 123)
Symmetry-distinct sites (fractional):
B: 0.000 0.000 0.000 [1 per cell]
Te: 0.500 0.500 0.000 [1 per cell]
Au: 0.500 0.500 0.500 [1 per cell]
I: 0.000 0.500 0.500 [2 per cell]

Computed properties:
Crystal system: tetragonal



#ii
VASP calculation (PBE) on a geometry-optimized BTeAuI2 structure.

Cell: 5.006 5.006 5.056 Å, 90.00 90.00 90.00°
Space group P4/mmm (No. 123)
Symmetry-distinct sites (fractional):
B: 0.000 0.000 0.000 [1 per cell]
Te: 0.000 0.000 0.500 [1 per cell]
Au: 0.500 0.500 0.500 [1 per cell]
I: 0.000 0.500 0.000 [2 per cell]

Computed properties:
Crystal system: tetragonal



Name the least stable of them. #i.



#i
VASP calculation (PBE) on a geometry-optimized In3BAu structure.

Cell: 5.311 5.311 5.311 Å, 90.00 90.00 90.00°
Space group Pm-3m (No. 221)
Symmetry-distinct sites (fractional):
In: 0.000 0.000 0.500 [3 per cell]
B: 0.500 0.500 0.500 [1 per cell]
Au: 0.000 0.000 0.000 [1 per cell]

Computed properties:
Crystal system: cubic



#ii
VASP calculation (PBE) on a geometry-optimized In3BAu structure.

Cell: 4.820 4.820 4.820 Å, 90.00 90.00 90.00°
Space group Pm-3m (No. 221)
Symmetry-distinct sites (fractional):
In: 0.000 0.000 0.500 [3 per cell]
B: 0.000 0.000 0.000 [1 per cell]
Au: 0.500 0.500 0.500 [1 per cell]

Computed properties:
Crystal system: cubic



Name the least stable of them. #i.



#i
VASP calculation (PBE) on a geometry-optimized B2IrAu structure.

Cell: 3.483 3.694 4.268 Å, 91.02 106.05 106.80°
Space group P1 (No. 1)
Symmetry-distinct sites (fractional):
B: 0.000 0.000 0.000 [1 per cell]
B: 0.469 0.238 0.363 [1 per cell]
Ir: 0.596 0.354 0.908 [1 per cell]
Au: 0.992 0.777 0.496 [1 per cell]

Computed properties:
Crystal system: triclinic



#ii
VASP calculation (PBE) on a geometry-optimized B2IrAu structure.

Cell: 12.228 2.813 2.891 Å, 90.00 103.49 90.00°
Space group Cm (No. 8)
Symmetry-distinct sites (fractional):
B: 0.000 0.000 0.000 [2 per cell]
B: 0.081 0.000 0.579 [2 per cell]
Ir: 0.157 0.500 0.154 [2 per cell]
Au: 0.349 0.000 0.851 [2 per cell]

Computed properties:
Crystal system: monoclinic



#iii
VASP calculation (PBE) on a geometry-optimized B2IrAu structure.

Cell: 3.0674 3.0674 17.5393 Å, 90.00 90.00 120.00°
Space group R3m (No. 160, hexagonal axes)
Symmetry-distinct sites (fractional):
B: 0.0000 0.0000 0.0000 [3 per cell]
B: 0.0000 0.0000 0.2869 [3 per cell]
Ir: 0.0000 0.0000 0.4028 [3 per cell]
Au: 0.0000 0.0000 0.8693 [3 per cell]

Computed properties:
Crystal system: trigonal



#iv
VASP calculation (PBE) on a geometry-optimized B2IrAu structure.

Cell: 2.910 3.991 5.211 Å, 78.37 74.24 68.63°
Space group P1 (No. 1)
Symmetry-distinct sites (fractional):
B: 0.000 0.000 0.000 [1 per cell]
B: 0.359 0.121 0.166 [1 per cell]
Ir: 0.688 0.555 0.073 [1 per cell]
Au: 0.284 0.843 0.583 [1 per cell]

Computed properties:
Crystal system: triclinic



Name the least stable of them. #i.